Entry 1:
# Er2ZnCd (GGA-PBE, optimized geometry)
data_Er2ZnCd
_cell_length_a 3.3760
_cell_length_b 3.3760
_cell_length_c 11.3399
_cell_angle_alpha 81.44
_cell_angle_beta 81.44
_cell_angle_gamma 60.00
_space_group_name_H-M_alt 'P 1'
_space_group_IT_number 1
_space_group_name_Hall 'P 1'
loop_
_atom_site_label
_atom_site_fract_x
_atom_site_fract_y
_atom_site_fract_z
Zn1 0.0000 0.0000 0.0000
Cd1 0.5000 0.5000 0.5000
Er1 0.0905 0.0905 0.7285
Er2 0.9095 0.9095 0.2715
# **E_form**: 0.195 eV/atom
# **Raw total energy**: -2.634 eV per atom
# **Total magnetic moment**: 0.0 μB/f.u.
# **Offset from the most stable computed form**: 0.527 eV/atom
# **DOS at the Fermi energy**: 3.153 states/eV per cell


Entry 2:
# Er4Zn2Cd (GGA-PBE, optimized geometry)
data_Er4Zn2Cd
_cell_length_a 4.9323
_cell_length_b 4.9323
_cell_length_c 9.4078
_cell_angle_alpha 74.80
_cell_angle_beta 74.80
_cell_angle_gamma 60.00
_space_group_name_H-M_alt 'P 1'
_space_group_IT_number 1
_space_group_name_Hall 'P 1'
loop_
_atom_site_label
_atom_site_fract_x
_atom_site_fract_y
_atom_site_fract_z
Er1 0.3821 0.3821 0.8536
Er2 0.2046 0.2046 0.3863
Er3 0.7954 0.7954 0.6137
Er4 0.6179 0.6179 0.1464
Zn1 0.0976 0.0976 0.7073
Zn2 0.9024 0.9024 0.2927
Cd1 0.0000 0.0000 0.0000
# **E_form**: -0.031 eV/atom
# **Raw total energy**: -3.133 eV per atom
# **Total magnetic moment**: 0.0 μB/f.u.
# **Offset from the most stable computed form**: 0.143 eV/atom
# **DOS at the Fermi energy**: 10.250 states/eV per cell